Entry 1:
Here is a crystal of Pr2Zn17 relaxed with PBEsol from Alexandria. Energies are from meta-GGA SCAN.

Cell and atoms, written as extended XYZ:
```
19
Lattice="4.4517 2.5702 4.3328 -4.4517 2.5702 4.3328 0.0000 -5.1404 4.3328" Properties=species:S:1:pos:R:3 pbc="T T T"
Pr 0.0000 0.0000 2.1276
Pr 0.0000 0.0000 10.8707
Zn -2.2259 -1.2851 4.3328
Zn 0.0000 -2.6199 4.1667
Zn -2.2689 1.3100 4.1667
Zn -1.3004 -2.2524 6.4991
Zn -2.6009 0.0000 6.4991
Zn -2.2689 -1.3100 8.8315
Zn 0.0000 0.0000 5.2198
Zn -2.2259 1.2851 8.6655
Zn 1.3004 -2.2524 6.4991
Zn 0.0000 2.5702 4.3328
Zn -1.3004 2.2524 6.4991
Zn 0.0000 0.0000 7.7784
Zn 2.2689 1.3100 4.1667
Zn 2.6009 0.0000 6.4991
Zn 1.3004 2.2524 6.4991
Zn 2.2689 -1.3100 8.8315
Zn 0.0000 2.6199 8.8315
```

Computed properties:
Total energy, eV per formula unit: -322.45
Volume, A^3/atom: 15.66
Magnetic moment, μB/cell: 0.000

=====

Entry 2:
Here is a crystal of PrZn relaxed with PBEsol from Alexandria. Energies are from meta-GGA SCAN.

Cell and atoms, written as extended XYZ:
```
2
Lattice="3.6388 0.0000 0.0000 0.0000 3.6388 0.0000 0.0000 0.0000 3.6388" Properties=species:S:1:pos:R:3 pbc="T T T"
Pr 0.0000 0.0000 0.0000
Zn 1.8194 1.8194 1.8194
```

Computed properties:
Total energy, eV per formula unit: -57.56
Volume, A^3/atom: 24.09
Magnetic moment, μB/cell: 0.002